1.
The following is a PBE calculation of SbMo2Br after structural relaxation, from Alexandria.

a b c (Å): 3.5227 3.5829 7.0212
angles (deg): 90.03 90.00 90.00
Element x y z (fractional)
Mo1 0.0000 0.7502 0.4230
Mo2 0.0000 0.7498 0.0770
Br1 0.5000 0.7500 0.7500
Sb1 0.5000 0.2500 0.2500

Calculated values
symmetry: Pmmm (47)
D(E_F): 0.925 states/eV/atom
total DFT energy (no corrections): -6.4438 eV per atom
total magnetic moment: 0.00 μB per formula unit
raw formation energy: 0.421 eV per atom

***

2.
The following is a PBE calculation of PbC after structural relaxation, from Alexandria.

a b c (Å): 9.1396 9.1396 3.8682
angles (deg): 90.00 90.00 120.00
Element x y z (fractional)
Pb1 0.5943 0.9167 0.7500
Pb2 0.6775 0.5943 0.2500
Pb3 0.9167 0.3225 0.2500
Pb4 0.4057 0.0833 0.2500
Pb5 0.0833 0.6775 0.7500
Pb6 0.3225 0.4057 0.7500
C1 0.9213 0.5850 0.2500
C2 0.6637 0.0787 0.2500
C3 0.4150 0.3363 0.2500
C4 0.5850 0.6637 0.7500
C5 0.0787 0.4150 0.7500
C6 0.3363 0.9213 0.7500

Calculated values
symmetry: P6_3/m (176)
D(E_F): 0.048 states/eV/atom
total DFT energy (no corrections): -4.8438 eV per atom
total magnetic moment: 0.00 μB per formula unit
calculated formation energy: 1.622 eV/atom

***

3.
The following is a PBE calculation of CsAlN after structural relaxation, from Alexandria.

a b c (Å): 3.7611 3.7611 12.9157
angles (deg): 90.00 90.00 90.00
Last column: magnetic moment on the atom in μB.
Element x y z (fractional)
Cs1 0.0000 0.5000 0.8226  0.05
Cs2 0.5000 0.0000 0.1774  0.05
Al1 0.5000 0.5000 0.5000  0.00
Al2 0.0000 0.0000 0.5000  0.00
N1 0.0000 0.5000 0.4631  0.00
N2 0.5000 0.0000 0.5369  0.00

Calculated values
symmetry: P4/nmm (129)
D(E_F): 0.474 states/eV/atom
total DFT energy (no corrections): -4.6671 eV per atom
total magnetic moment: 0.41 μB per formula unit
raw formation energy: -0.360 eV per atom

***

4.
The following is a PBE calculation of UMnCoSi3 after structural relaxation, from Alexandria.

a b c (Å): 5.5127 7.0518 6.1169
angles (deg): 125.20 90.00 90.00
Last column: magnetic moment on the atom in μB.
Element x y z (fractional)
U1 0.2500 0.7411 0.4821  2.15
U2 0.7500 0.2589 0.5179  2.15
Si1 0.5000 0.2484 0.0000  -0.01
Si2 0.0000 0.7516 0.0000  -0.01
Si3 0.2500 0.2462 0.4924  0.02
Si4 0.5000 0.7516 0.0000  -0.01
Si5 0.7500 0.7538 0.5076  0.02
Si6 0.0000 0.2484 0.0000  -0.01
Co1 0.2500 0.0347 0.0694  0.12
Co2 0.7500 0.9653 0.9306  0.12
Mn1 0.2500 0.4625 0.9250  -0.13
Mn2 0.7500 0.5375 0.0750  -0.13

Calculated values
symmetry: Cmcm (63)
D(E_F): 1.143 states/eV/atom
total DFT energy (no corrections): -7.4384 eV per atom
total magnetic moment: 2.40 μB per formula unit
raw formation energy: -0.133 eV per atom

***

5.
The following is a PBE calculation of ScV2Os2 after structural relaxation, from Alexandria.

a b c (Å): 7.4001 7.4001 2.8744
angles (deg): 90.00 90.00 90.00
Element x y z (fractional)
Os1 0.6424 0.1424 0.0000
Os2 0.8576 0.6424 0.0000
Os3 0.1424 0.3576 0.0000
Os4 0.3576 0.8576 0.0000
V1 0.1509 0.6509 0.5000
V2 0.6509 0.8491 0.5000
V3 0.3491 0.1509 0.5000
V4 0.8491 0.3491 0.5000
Sc1 0.0000 0.0000 0.0000
Sc2 0.5000 0.5000 0.0000

Calculated values
symmetry: P4/mbm (127)
D(E_F): 1.318 states/eV/atom
total DFT energy (no corrections): -9.5006 eV per atom
total magnetic moment: 0.00 μB per formula unit
calculated formation energy: -0.095 eV/atom

***

6.
The following is a PBE calculation of MnCuCl4 after structural relaxation, from Alexandria.

a b c (Å): 6.1585 6.1484 9.2016
angles (deg): 90.00 90.00 90.00
Last column: magnetic moment on the atom in μB.
Element x y z (fractional)
Cl1 0.7691 0.7472 0.1025  0.01
Cl2 0.7523 0.2312 0.3980  0.01
Cl3 0.7691 0.2528 0.8975  0.01
Cl4 0.2477 0.2312 0.6020  0.01
Cl5 0.2309 0.7472 0.8975  0.01
Cl6 0.7523 0.7688 0.6020  0.01
Cl7 0.2309 0.2528 0.1025  0.01
Cl8 0.2477 0.7688 0.3980  0.01
Mn1 0.0000 0.0000 0.5000  3.90
Mn2 0.0000 0.5000 0.0000  3.90
Cu1 0.0000 0.0000 0.0000  -0.24
Cu2 0.5000 0.0000 0.5000  -0.25

Calculated values
symmetry: P222 (16)
D(E_F): 0.292 states/eV/atom
total DFT energy (no corrections): -4.2161 eV per atom
total magnetic moment: 4.00 μB per formula unit
raw formation energy: -0.774 eV per atom

***

Copy entry 6 word for word.
The following is a PBE calculation of MnCuCl4 after structural relaxation, from Alexandria.

a b c (Å): 6.1585 6.1484 9.2016
angles (deg): 90.00 90.00 90.00
Last column: magnetic moment on the atom in μB.
Element x y z (fractional)
Cl1 0.7691 0.7472 0.1025  0.01
Cl2 0.7523 0.2312 0.3980  0.01
Cl3 0.7691 0.2528 0.8975  0.01
Cl4 0.2477 0.2312 0.6020  0.01
Cl5 0.2309 0.7472 0.8975  0.01
Cl6 0.7523 0.7688 0.6020  0.01
Cl7 0.2309 0.2528 0.1025  0.01
Cl8 0.2477 0.7688 0.3980  0.01
Mn1 0.0000 0.0000 0.5000  3.90
Mn2 0.0000 0.5000 0.0000  3.90
Cu1 0.0000 0.0000 0.0000  -0.24
Cu2 0.5000 0.0000 0.5000  -0.25

Calculated values
symmetry: P222 (16)
D(E_F): 0.292 states/eV/atom
total DFT energy (no corrections): -4.2161 eV per atom
total magnetic moment: 4.00 μB per formula unit
raw formation energy: -0.774 eV per atom

***

Look up the D(E_F) of the second one.
0.048 states/eV/atom

***

Which value of total DFT energy (no corrections) does entry 1 give?
-6.4438 eV per atom